No. 1
# LiHo2Hg6

An optimized crystal structure of LiHo2Hg6 (PBE-GGA, Alexandria).

Cell and atoms, written as CIF:
```
data_LiHo2Hg6
_chemical_formula_sum 'Li2 Ho4 Hg12'
_cell_length_a 8.419
_cell_length_b 8.515
_cell_length_c 5.937
_cell_angle_alpha 90.00
_cell_angle_beta 91.01
_cell_angle_gamma 90.00
_space_group_name_H-M_alt 'C 1 2/m 1'
_space_group_IT_number 12
loop_
_space_group_symop_operation_xyz
'x,y,z'
'-x,-y,-z'
'-x,y,-z'
'x,-y,z'
'x+1/2,y+1/2,z'
'-x+1/2,-y+1/2,-z'
'-x+1/2,y+1/2,-z'
'x+1/2,-y+1/2,z'
loop_
_atom_site_label
_atom_site_type_symbol
_atom_site_fract_x
_atom_site_fract_y
_atom_site_fract_z
Li1 Li 0.000 0.000 0.000
Ho1 Ho 0.173 0.500 0.675
Hg1 Hg 0.000 0.165 0.500
Hg2 Hg 0.168 0.333 0.167
```

For the energy above the most stable polymorph in this dataset, the calculation gives 36 meV per atom. As for the magnetic moment: 0.0 μB/cell. As for the final energy: -1.739 eV per atom. The calculation puts the formation energy at -2.8 eV per formula unit.

No. 2
# BiAuSe

An optimized crystal structure of BiAuSe (PBE-GGA, Alexandria).

Cell and atoms, written as CIF:
```
data_BiAuSe
_chemical_formula_sum 'Bi4 Au4 Se4'
_cell_length_a 11.150
_cell_length_b 3.926
_cell_length_c 7.188
_cell_angle_alpha 90.00
_cell_angle_beta 96.73
_cell_angle_gamma 90.00
_space_group_name_H-M_alt 'C 1 2/m 1'
_space_group_IT_number 12
loop_
_space_group_symop_operation_xyz
'x,y,z'
'-x,-y,-z'
'-x,y,-z'
'x,-y,z'
'x+1/2,y+1/2,z'
'-x+1/2,-y+1/2,-z'
'-x+1/2,y+1/2,-z'
'x+1/2,-y+1/2,z'
loop_
_atom_site_label
_atom_site_type_symbol
_atom_site_fract_x
_atom_site_fract_y
_atom_site_fract_z
Bi1 Bi 0.120 0.000 0.290
Au1 Au 0.141 0.500 0.001
Se1 Se 0.134 0.500 0.633
```

As for the magnetic moment: 0.0 μB/cell. As for the final energy: -3.625 eV per atom. The calculation puts the uncorrected formation energy at -0.23 eV per formula unit.

No. 3
# Pa3TlCu4O12

An optimized crystal structure of Pa3TlCu4O12 (PBE-GGA, Alexandria).

Cell and atoms, written as CIF:
```
data_Pa3TlCu4O12
_chemical_formula_sum 'Pa9 Tl3 Cu12 O36'
_cell_length_a 11.2584
_cell_length_b 11.2584
_cell_length_c 8.2685
_cell_angle_alpha 90.00
_cell_angle_beta 90.00
_cell_angle_gamma 120.00
_space_group_name_H-M_alt 'R 3 2'
_space_group_IT_number 155
_space_group_name_Hall 'R 3 2"'
loop_
_atom_site_label
_atom_site_type_symbol
_atom_site_fract_x
_atom_site_fract_y
_atom_site_fract_z
Pa1 Pa 0.0000 0.5518 0.0000
Tl1 Tl 0.0000 0.0000 0.0000
Cu1 Cu 0.0000 0.0000 0.5000
Cu2 Cu 0.0000 0.4274 0.5000
O1 O 0.0000 0.6067 0.5000
O2 O 0.0000 0.8349 0.5000
O3 O 0.0430 0.1944 0.1846
```

As for the magnetic moment: 3.8 μB/cell. As for the final energy: -7.331 eV per atom. The calculation puts the uncorrected formation energy at -39.88 eV per formula unit.

No. 4
# PaAgAuO4

An optimized crystal structure of PaAgAuO4 (PBE-GGA, Alexandria).

Cell and atoms, written as CIF:
```
data_PaAgAuO4
_chemical_formula_sum 'Pa4 Ag4 Au4 O16'
_cell_length_a 6.273
_cell_length_b 6.937
_cell_length_c 10.917
_cell_angle_alpha 90.00
_cell_angle_beta 90.00
_cell_angle_gamma 90.00
_space_group_name_H-M_alt 'I m m a'
_space_group_IT_number 74
_space_group_name_Hall '-I 2b 2'
loop_
_atom_site_label
_atom_site_type_symbol
_atom_site_fract_x
_atom_site_fract_y
_atom_site_fract_z
Pa1 Pa 0.000 0.000 0.000
Ag1 Ag 0.000 0.250 0.332
Au1 Au 0.250 0.250 0.750
O1 O 0.000 0.039 0.795
O2 O 0.209 0.250 0.024
```

As for the magnetic moment: 4.1 μB/cell. As for the final energy: -6.697 eV per atom. The calculation puts the uncorrected formation energy at -11.42 eV per formula unit.

No. 5
# Sr2YCd

An optimized crystal structure of Sr2YCd (PBE-GGA, Alexandria).

Cell and atoms, written as CIF:
```
data_Sr2YCd
_chemical_formula_sum 'Sr4 Y2 Cd2'
_cell_length_a 5.168
_cell_length_b 5.168
_cell_length_c 10.900
_cell_angle_alpha 90.00
_cell_angle_beta 90.00
_cell_angle_gamma 90.00
_space_group_name_H-M_alt 'I 4/m m m'
_space_group_IT_number 139
_space_group_name_Hall '-I 4 2'
loop_
_atom_site_label
_atom_site_type_symbol
_atom_site_fract_x
_atom_site_fract_y
_atom_site_fract_z
Sr1 Sr 0.000 0.500 0.250
Y1 Y 0.000 0.000 0.000
Cd1 Cd 0.000 0.000 0.500
```

As for the magnetic moment: 0.0 μB/cell. As for the final energy: -2.595 eV per atom. The calculation puts the formation energy at 0.4 eV per formula unit.

No. 6
# NbAg3N

An optimized crystal structure of NbAg3N (PBE-GGA, Alexandria).

Cell and atoms, written as CIF:
```
data_NbAg3N
_chemical_formula_sum 'Nb1 Ag3 N1'
_cell_length_a 5.179
_cell_length_b 5.179
_cell_length_c 5.179
_cell_angle_alpha 90.00
_cell_angle_beta 90.00
_cell_angle_gamma 90.00
_space_group_name_H-M_alt 'P m -3 m'
_space_group_IT_number 221
_space_group_name_Hall '-P 4 2 3'
loop_
_atom_site_label
_atom_site_type_symbol
_atom_site_fract_x
_atom_site_fract_y
_atom_site_fract_z
Nb1 Nb 0.000 0.000 0.000
Ag1 Ag 0.000 0.000 0.500
N1 N 0.500 0.500 0.500
```

For the energy above the most stable polymorph in this dataset, the calculation gives 1582 meV per atom. As for the magnetic moment: 2.0 μB/cell. As for the final energy: -2.704 eV per atom. The calculation puts the uncorrected formation energy at 13.43 eV per formula unit.

No. 7
# K2RbAgCl

An optimized crystal structure of K2RbAgCl (PBE-GGA, Alexandria).

Cell and atoms, written as CIF:
```
data_K2RbAgCl
_chemical_formula_sum 'K2 Rb1 Ag1 Cl1'
_cell_length_a 6.035
_cell_length_b 6.035
_cell_length_c 6.374
_cell_angle_alpha 90.00
_cell_angle_beta 90.00
_cell_angle_gamma 90.00
_space_group_name_H-M_alt 'P 4/m m m'
_space_group_IT_number 123
_space_group_name_Hall '-P 4 2'
loop_
_atom_site_label
_atom_site_type_symbol
_atom_site_fract_x
_atom_site_fract_y
_atom_site_fract_z
K1 K 0.000 0.500 0.000
Rb1 Rb 0.000 0.000 0.500
Ag1 Ag 0.500 0.500 0.500
Cl1 Cl 0.000 0.000 0.000
```

As for the magnetic moment: 0.0 μB/cell. As for the final energy: -2.207 eV per atom. The calculation puts the uncorrected formation energy at -3.18 eV per formula unit.

No. 8
# Ba2HgPtAu

An optimized crystal structure of Ba2HgPtAu (PBE-GGA, Alexandria).

Cell and atoms, written as CIF:
```
data_Ba2HgPtAu
_chemical_formula_sum 'Ba4 Hg2 Pt2 Au2'
_cell_length_a 8.990
_cell_length_b 4.816
_cell_length_c 9.127
_cell_angle_alpha 90.00
_cell_angle_beta 119.31
_cell_angle_gamma 90.00
_space_group_name_H-M_alt 'P 1 21/m 1'
_space_group_IT_number 11
loop_
_space_group_symop_operation_xyz
'x,y,z'
'-x,-y,-z'
'-x,y+1/2,-z'
'x,-y+1/2,z'
loop_
_atom_site_label
_atom_site_type_symbol
_atom_site_fract_x
_atom_site_fract_y
_atom_site_fract_z
Ba1 Ba 0.094 0.250 0.235
Ba2 Ba 0.359 0.750 0.763
Hg1 Hg 0.321 0.750 0.142
Pt1 Pt 0.224 0.250 0.946
Au1 Au 0.049 0.250 0.597
```

For the energy above the most stable polymorph in this dataset, the calculation gives 0 meV per atom. As for the magnetic moment: 0.0 μB/cell. As for the final energy: -3.331 eV per atom. The calculation puts the formation energy at -3.2 eV per formula unit.

No. 9
# La3Tl5Br12

An optimized crystal structure of La3Tl5Br12 (PBE-GGA, Alexandria).

Cell and atoms, written as CIF:
```
data_La3Tl5Br12
_chemical_formula_sum 'La24 Tl40 Br96'
_cell_length_a 18.663
_cell_length_b 18.663
_cell_length_c 18.663
_cell_angle_alpha 90.00
_cell_angle_beta 90.00
_cell_angle_gamma 90.00
_space_group_name_H-M_alt 'I a -3 d'
_space_group_IT_number 230
_space_group_name_Hall '-I 4bd 2c 3'
loop_
_atom_site_label
_atom_site_type_symbol
_atom_site_fract_x
_atom_site_fract_y
_atom_site_fract_z
La1 La 0.000 0.250 0.125
Tl1 Tl 0.000 0.000 0.000
Tl2 Tl 0.000 0.250 0.375
Br1 Br 0.021 0.091 0.648
```

As for the magnetic moment: 17.6 μB/cell. As for the final energy: -3.508 eV per atom. The calculation puts the uncorrected formation energy at -23.48 eV per formula unit.

No. 10
# PmErBeIn

An optimized crystal structure of PmErBeIn (PBE-GGA, Alexandria).

Cell and atoms, written as CIF:
```
data_PmErBeIn
_chemical_formula_sum 'Pm4 Er4 Be4 In4'
_cell_length_a 7.303
_cell_length_b 7.303
_cell_length_c 7.303
_cell_angle_alpha 90.00
_cell_angle_beta 90.00
_cell_angle_gamma 90.00
_space_group_name_H-M_alt 'F -4 3 m'
_space_group_IT_number 216
_space_group_name_Hall 'F -4 2 3'
loop_
_atom_site_label
_atom_site_type_symbol
_atom_site_fract_x
_atom_site_fract_y
_atom_site_fract_z
Pm1 Pm 0.000 0.000 0.000
Er1 Er 0.000 0.000 0.500
Be1 Be 0.250 0.250 0.250
In1 In 0.250 0.250 0.750
```

As for the magnetic moment: 0.0 μB/cell. As for the final energy: -4.043 eV per atom. The calculation puts the formation energy at -0.4 eV per formula unit.

No. 11
# AgAs2RuBr

An optimized crystal structure of AgAs2RuBr (PBE-GGA, Alexandria).

Cell and atoms, written as CIF:
```
data_AgAs2RuBr
_chemical_formula_sum 'Ag1 As2 Ru1 Br1'
_cell_length_a 4.687
_cell_length_b 4.687
_cell_length_c 5.536
_cell_angle_alpha 90.00
_cell_angle_beta 90.00
_cell_angle_gamma 90.00
_space_group_name_H-M_alt 'P 4/m m m'
_space_group_IT_number 123
_space_group_name_Hall '-P 4 2'
loop_
_atom_site_label
_atom_site_type_symbol
_atom_site_fract_x
_atom_site_fract_y
_atom_site_fract_z
Ag1 Ag 0.000 0.000 0.000
As1 As 0.000 0.500 0.500
Ru1 Ru 0.500 0.500 0.500
Br1 Br 0.500 0.500 0.000
```

For the energy above the most stable polymorph in this dataset, the calculation gives 0 meV per atom. As for the magnetic moment: 0.0 μB/cell. As for the final energy: -4.183 eV per atom. The calculation puts the uncorrected formation energy at 2.18 eV per formula unit.

No. 12
# AcInCuRh

An optimized crystal structure of AcInCuRh (PBE-GGA, Alexandria).

Cell and atoms, written as CIF:
```
data_AcInCuRh
_chemical_formula_sum 'Ac4 In4 Cu4 Rh4'
_cell_length_a 7.077
_cell_length_b 7.077
_cell_length_c 7.077
_cell_angle_alpha 90.00
_cell_angle_beta 90.00
_cell_angle_gamma 90.00
_space_group_name_H-M_alt 'F -4 3 m'
_space_group_IT_number 216
_space_group_name_Hall 'F -4 2 3'
loop_
_atom_site_label
_atom_site_type_symbol
_atom_site_fract_x
_atom_site_fract_y
_atom_site_fract_z
Ac1 Ac 0.000 0.000 0.000
In1 In 0.000 0.000 0.500
Cu1 Cu 0.250 0.250 0.250
Rh1 Rh 0.250 0.250 0.750
```

As for the magnetic moment: 0.0 μB/cell. As for the final energy: -4.820 eV per atom. The calculation puts the formation energy at -1.0 eV per formula unit.